Record 1
MgFeCoSe3: optimized geometry, PBE.

The structure in POSCAR format:
```
MgFeCoSe3
1.0
1.760 -6.195 0.000
1.760 6.195 0.000
0.000 0.000 9.295
Mg Fe Co Se
2 2 2 6
direct
0.227 0.773 0.750
0.773 0.227 0.250
0.000 0.000 0.000
0.000 0.000 0.500
0.457 0.543 0.250
0.543 0.457 0.750
0.080 0.920 0.250
0.361 0.639 0.039
0.361 0.639 0.461
0.639 0.361 0.539
0.639 0.361 0.961
0.920 0.080 0.750
```

Results
E   -29.317 eV per formula unit
Symmetry   Cmcm (63)

***

Record 2
MgFeCoSn: optimized geometry, PBE.

The structure in POSCAR format:
```
MgFeCoSn
1.0
0.000 3.043 3.043
3.043 0.000 3.043
3.043 3.043 0.000
Mg Fe Co Sn
1 1 1 1
direct
0.000 0.000 0.000
0.250 0.250 0.250
0.750 0.750 0.750
0.500 0.500 0.500
```

Results
Symmetry   F-43m (216)
Distance to the lowest polymorph of the same formula   0.0 meV per atom

***

Record 3
MgFeCoTe3: optimized geometry, PBE.

The structure in POSCAR format:
```
MgFeCoTe3
1.0
1.889 -6.560 0.000
1.889 6.560 0.000
0.000 0.000 10.195
Mg Fe Co Te
2 2 2 6
direct
0.213 0.787 0.750
0.787 0.213 0.250
0.000 0.000 0.000
0.000 0.000 0.500
0.443 0.557 0.250
0.557 0.443 0.750
0.073 0.927 0.250
0.363 0.637 0.029
0.363 0.637 0.471
0.637 0.363 0.529
0.637 0.363 0.971
0.927 0.073 0.750
```

Results
Symmetry   Cmcm (63)
Distance to the lowest polymorph of the same formula   9.2 meV per atom

***

Record 4
MgFeCoTe3: optimized geometry, PBE.

The structure in POSCAR format:
```
MgFeCoTe3
1.0
1.871 -6.566 0.000
1.871 6.566 0.000
0.000 0.000 10.376
Mg Fe Co Te
2 2 2 6
direct
0.234 0.766 0.750
0.766 0.234 0.250
0.426 0.574 0.250
0.574 0.426 0.750
0.000 0.000 0.000
0.000 0.000 0.500
0.064 0.936 0.250
0.365 0.635 0.020
0.365 0.635 0.480
0.635 0.365 0.520
0.635 0.365 0.980
0.936 0.064 0.750
```

Results
Symmetry   Cmcm (63)
Distance to the lowest polymorph of the same formula   0.0 meV per atom

***

Record 5
MgZnFeCo: optimized geometry, PBE.

The structure in POSCAR format:
```
MgZnFeCo
1.0
0.000 2.972 2.972
2.972 0.000 2.972
2.972 2.972 0.000
Mg Zn Fe Co
1 1 1 1
direct
0.000 0.000 0.000
0.250 0.250 0.250
0.500 0.500 0.500
0.750 0.750 0.750
```

Results
Symmetry   F-43m (216)
Distance to the lowest polymorph of the same formula   0.0 meV per atom

***

Record 6
FeCo4Mo2: optimized geometry, PBE.

The structure in POSCAR format:
```
FeCo4Mo2
1.0
2.636 0.000 0.000
-1.318 2.283 0.000
0.000 0.000 14.862
Fe Co Mo
1 4 2
direct
0.000 0.000 0.000
0.333 0.667 0.435
0.333 0.667 0.870
0.667 0.333 0.130
0.667 0.333 0.565
0.333 0.667 0.708
0.667 0.333 0.292
```

Results
Formation energy   0.37 eV/atom
Symmetry   P-3m1 (164)

***

Record 7
FeCoMo4N2: optimized geometry, PBE.

The structure in POSCAR format:
```
FeCoMo4N2
1.0
2.797 0.000 0.000
-1.399 2.422 0.000
0.000 0.000 14.396
Fe Co Mo N
1 1 4 2
direct
0.000 0.000 0.000
0.333 0.667 0.500
0.000 0.000 0.352
0.000 0.000 0.648
0.333 0.667 0.155
0.333 0.667 0.845
0.667 0.333 0.253
0.667 0.333 0.747
```

Results
E   -74.725 eV per formula unit
Symmetry   P-6m2 (187)

***

Record 8
FeCoMoPb: optimized geometry, PBE.

The structure in POSCAR format:
```
FeCoMoPb
1.0
0.000 3.099 3.099
3.099 0.000 3.099
3.099 3.099 0.000
Fe Co Mo Pb
1 1 1 1
direct
0.000 0.000 0.000
0.500 0.500 0.500
0.750 0.750 0.750
0.250 0.250 0.250
```

Results
Symmetry   F-43m (216)
Distance to the lowest polymorph of the same formula   0.0 meV per atom

***

Record 9
FeCoSbMo: optimized geometry, PBE.

The structure in POSCAR format:
```
FeCoSbMo
1.0
0.000 3.088 3.088
3.088 0.000 3.088
3.088 3.088 0.000
Fe Co Sb Mo
1 1 1 1
direct
0.000 0.000 0.000
0.750 0.750 0.750
0.500 0.500 0.500
0.250 0.250 0.250
```

Results
Symmetry   F-43m (216)
Distance to the lowest polymorph of the same formula   0.0 meV per atom

***

Record 10
FeCoSnMo: optimized geometry, PBE.

The structure in POSCAR format:
```
FeCoSnMo
1.0
0.000 3.051 3.051
3.051 0.000 3.051
3.051 3.051 0.000
Fe Co Sn Mo
1 1 1 1
direct
0.000 0.000 0.000
0.500 0.500 0.500
0.250 0.250 0.250
0.750 0.750 0.750
```

Results
Symmetry   F-43m (216)
Distance to the lowest polymorph of the same formula   0.0 meV per atom

***

Record 11
ZnFeCoMo: optimized geometry, PBE.

The structure in POSCAR format:
```
ZnFeCoMo
1.0
0.000 2.918 2.918
2.918 0.000 2.918
2.918 2.918 0.000
Zn Fe Co Mo
1 1 1 1
direct
0.000 0.000 0.000
0.750 0.750 0.750
0.250 0.250 0.250
0.500 0.500 0.500
```

Results
Formation energy   0.07 eV/atom
Symmetry   F-43m (216)
Distance to the lowest polymorph of the same formula   0.0 meV per atom

***

Record 12
ZnFeCoMo: optimized geometry, PBE.

The structure in POSCAR format:
```
ZnFeCoMo
1.0
0.000 2.958 2.958
2.958 0.000 2.958
2.958 2.958 0.000
Zn Fe Co Mo
1 1 1 1
direct
0.000 0.000 0.000
0.250 0.250 0.250
0.500 0.500 0.500
0.750 0.750 0.750
```

Results
Formation energy   0.24 eV/atom
Symmetry   F-43m (216)
Distance to the lowest polymorph of the same formula   172.3 meV per atom

***

Record 13
FeCoN2: optimized geometry, PBE.

The structure in POSCAR format:
```
FeCoN2
1.0
-2.114 2.114 4.218
2.114 -2.114 4.218
2.114 2.114 -4.218
Fe Co N
2 2 4
direct
0.000 0.000 0.000
0.750 0.250 0.500
0.250 0.750 0.500
0.500 0.500 0.000
0.118 0.625 0.993
0.375 0.368 0.493
0.632 0.125 0.007
0.875 0.882 0.507
```

Results
E   -32.173 eV per formula unit
Symmetry   I-42d (122)

***

Record 14
Fe6Co2N: optimized geometry, PBE.

The structure in POSCAR format:
```
Fe6Co2N
1.0
-2.817 2.817 3.116
2.817 -2.817 3.116
2.817 2.817 -3.116
Fe Co N
6 2 1
direct
0.207 0.207 0.000
0.255 0.255 0.510
0.255 0.745 0.000
0.745 0.255 0.000
0.745 0.745 0.490
0.793 0.793 0.000
0.250 0.750 0.500
0.750 0.250 0.500
0.500 0.500 0.000
```

Results
E   -72.537 eV per formula unit
Symmetry   I4/mmm (139)

***

Record 15
Nb4FeCoN2: optimized geometry, PBE.

The structure in POSCAR format:
```
Nb4FeCoN2
1.0
3.074 0.000 0.000
-1.537 2.663 0.000
0.000 0.000 12.930
Nb Fe Co N
4 1 1 2
direct
0.000 0.000 0.152
0.000 0.000 0.848
0.333 0.667 0.348
0.333 0.667 0.652
0.333 0.667 0.000
0.000 0.000 0.500
0.667 0.333 0.250
0.667 0.333 0.750
```

Results
E   -75.355 eV per formula unit
Symmetry   P-6m2 (187)

***

Record 16
FeCoNi2N4: optimized geometry, PBE.

The structure in POSCAR format:
```
FeCoNi2N4
1.0
-2.135 2.135 4.248
2.135 -2.135 4.248
2.135 2.135 -4.248
Fe Co Ni N
1 1 2 4
direct
0.000 0.000 0.000
0.250 0.750 0.500
0.500 0.500 0.000
0.750 0.250 0.500
0.124 0.644 0.015
0.356 0.370 0.479
0.630 0.109 0.985
0.891 0.876 0.521
```

Results
E   -58.503 eV per formula unit
Symmetry   I-4 (82)

***

Record 17
FeCoPd2N4: optimized geometry, PBE.

The structure in POSCAR format:
```
FeCoPd2N4
1.0
-2.302 2.302 4.215
2.302 -2.302 4.215
2.302 2.302 -4.215
Fe Co Pd N
1 1 2 4
direct
0.000 0.000 0.000
0.250 0.750 0.500
0.500 0.500 0.000
0.750 0.250 0.500
0.123 0.685 0.053
0.315 0.368 0.439
0.632 0.070 0.947
0.930 0.877 0.561
```

Results
E   -55.697 eV per formula unit
Symmetry   I-4 (82)

***

Record 18
Sc4FeCoN2: optimized geometry, PBE.

The structure in POSCAR format:
```
Sc4FeCoN2
1.0
3.120 0.000 0.000
-1.560 2.702 0.000
0.000 0.000 13.359
Sc Fe Co N
4 1 1 2
direct
0.000 0.000 0.147
0.000 0.000 0.853
0.667 0.333 0.340
0.667 0.333 0.660
0.000 0.000 0.500
0.667 0.333 0.000
0.333 0.667 0.245
0.333 0.667 0.755
```

Results
Symmetry   P-6m2 (187)
Distance to the lowest polymorph of the same formula   0.0 meV per atom

***

Record 19
Ta4FeCoN2: optimized geometry, PBE.

The structure in POSCAR format:
```
Ta4FeCoN2
1.0
3.047 0.000 0.000
-1.524 2.639 0.000
0.000 0.000 12.960
Ta Fe Co N
4 1 1 2
direct
0.000 0.000 0.151
0.000 0.000 0.849
0.333 0.667 0.349
0.333 0.667 0.651
0.000 0.000 0.500
0.333 0.667 0.000
0.667 0.333 0.250
0.667 0.333 0.750
```

Results
E   -82.991 eV per formula unit
Symmetry   P-6m2 (187)

***

Record 20
Y4FeCoN2: optimized geometry, PBE.

The structure in POSCAR format:
```
Y4FeCoN2
1.0
3.444 0.000 0.000
-1.722 2.982 0.000
0.000 0.000 13.914
Y Fe Co N
4 1 1 2
direct
0.000 0.000 0.145
0.000 0.000 0.855
0.333 0.667 0.345
0.333 0.667 0.655
0.000 0.000 0.500
0.333 0.667 0.000
0.667 0.333 0.246
0.667 0.333 0.754
```

Results
E   -62.366 eV per formula unit
Symmetry   P-6m2 (187)

***

Record 21
Zr4FeCoN2: optimized geometry, PBE.

The structure in POSCAR format:
```
Zr4FeCoN2
1.0
3.223 0.000 0.000
-1.611 2.791 0.000
0.000 0.000 13.186
Zr Fe Co N
4 1 1 2
direct
0.000 0.000 0.145
0.000 0.000 0.855
0.333 0.667 0.352
0.333 0.667 0.648
0.000 0.000 0.500
0.333 0.667 0.000
0.667 0.333 0.248
0.667 0.333 0.752
```

Results
E   -72.280 eV per formula unit
Symmetry   P-6m2 (187)

***

Record 22
NaFeCo: optimized geometry, PBE.

The structure in POSCAR format:
```
NaFeCo
1.0
0.000 2.952 2.952
2.952 0.000 2.952
2.952 2.952 0.000
Na Fe Co
1 1 1
direct
0.000 0.000 0.000
0.250 0.250 0.250
0.750 0.750 0.750
```

Results
Symmetry   F-43m (216)
Distance to the lowest polymorph of the same formula   563.5 meV per atom

***

Record 23
NaFeCo: optimized geometry, PBE.

The structure in POSCAR format:
```
NaFeCo
1.0
0.000 2.920 2.920
2.920 0.000 2.920
2.920 2.920 0.000
Na Fe Co
1 1 1
direct
0.000 0.000 0.000
0.500 0.500 0.500
0.750 0.750 0.750
```

Results
Symmetry   F-43m (216)
Distance to the lowest polymorph of the same formula   0.0 meV per atom

***

Record 24
NaFeCoSe3: optimized geometry, PBE.

The structure in POSCAR format:
```
NaFeCoSe3
1.0
7.533 0.000 0.000
0.000 3.556 0.000
-3.341 0.000 8.647
Na Fe Co Se
2 2 2 6
direct
0.248 0.250 0.280
0.752 0.750 0.720
0.070 0.250 0.600
0.930 0.750 0.400
0.322 0.750 0.846
0.678 0.250 0.154
0.108 0.250 0.865
0.273 0.750 0.565
0.454 0.750 0.122
0.546 0.250 0.878
0.727 0.250 0.435
0.892 0.750 0.135
```

Results
E   -29.850 eV per formula unit
Symmetry   P2_1/m (11)

***

Record 25
NbFeCo: optimized geometry, PBE.

The structure in POSCAR format:
```
NbFeCo
1.0
0.000 2.832 2.832
2.832 0.000 2.832
2.832 2.832 0.000
Nb Fe Co
1 1 1
direct
0.000 0.000 0.000
0.250 0.250 0.250
0.750 0.750 0.750
```

Results
Formation energy   0.69 eV/atom
Symmetry   F-43m (216)
Distance to the lowest polymorph of the same formula   283.9 meV per atom

***

Record 26
NbFe2Co: optimized geometry, PBE.

The structure in POSCAR format:
```
NbFe2Co
1.0
0.000 2.954 2.954
2.954 0.000 2.954
2.954 2.954 0.000
Nb Fe Co
1 2 1
direct
0.000 0.000 0.000
0.500 0.500 0.500
0.750 0.750 0.750
0.250 0.250 0.250
```

Results
Formation energy   -0.03 eV/atom
Symmetry   F-43m (216)